A plane-wave DFT calculation with PBE was carried out for a geometry-optimized Co3Re2 structure.

## Properties
The density of states at the Fermi level comes out at 5.9 states/eV/f.u. The value obtained for the polymorph energy (0 for the lowest one) is 0.169 eV per atom. For the formation energy, the calculation gives 125.3 meV/atom. The value obtained for the volume is 12.24 A^3/atom.

The structure in extended XYZ format:
```
10
Lattice="0.000 6.223 2.368 4.154 0.000 2.368 4.154 6.223 0.000" Properties=species:S:1:pos:R:3 pbc="T T T"
Co 0.000 0.000 0.000
Co 2.077 3.112 1.184
Co 4.566 4.830 2.831
Co 3.743 7.617 2.831
Co 5.820 7.942 4.015
Co 6.643 10.729 4.015
Re 5.866 6.893 1.683
Re 3.789 2.442 2.867
Re 2.442 5.554 1.683
Re 4.519 10.005 2.867
```

---

A plane-wave DFT calculation with PBE was carried out for a geometry-optimized La3NiB structure.

## Properties
The density of states at the Fermi level comes out at 8.1 states/eV/f.u. The value obtained for the polymorph energy (0 for the lowest one) is 0.000 eV per atom. For the formation energy, the calculation gives 317.6 meV/atom. The value obtained for the volume is 28.60 A^3/atom.

The structure in extended XYZ format:
```
5
Lattice="5.229 0.000 0.000 0.000 5.229 0.000 0.000 0.000 5.229" Properties=species:S:1:pos:R:3 pbc="T T T"
La 0.000 0.000 2.615
La 0.000 2.615 0.000
La 2.615 0.000 0.000
Ni 2.615 2.615 2.615
B 0.000 0.000 0.000
```

---

A plane-wave DFT calculation with PBE was carried out for a geometry-optimized Tm3Sn3Ru structure.

## Properties
The density of states at the Fermi level comes out at 5.2 states/eV/f.u. For the formation energy, the calculation gives -607.6 meV/atom. The value obtained for the volume is 24.45 A^3/atom.

The structure in extended XYZ format:
```
14
Lattice="5.499 -2.196 0.000 5.499 2.196 0.000 -4.813 0.000 14.169" Properties=species:S:1:pos:R:3 pbc="T T T"
Tm -1.660 0.000 5.383
Tm -3.340 0.000 13.098
Tm 1.373 0.000 3.454
Tm 4.812 0.000 10.715
Tm 9.525 0.000 1.071
Tm 7.844 0.000 8.787
Sn 1.623 0.000 6.606
Sn -0.331 0.000 13.066
Sn 1.660 0.000 10.881
Sn 4.525 0.000 3.288
Sn 6.515 0.000 1.103
Sn 4.562 0.000 7.564
Ru -0.111 0.000 8.789
Ru 6.295 0.000 5.380
```

---

A plane-wave DFT calculation with PBE was carried out for a geometry-optimized AcTiPt2O8 structure.

## Properties
The density of states at the Fermi level comes out at 6.0 states/eV/f.u. The uncorrected formation energy comes out at -1.18 eV per atom. The value obtained for the volume is 17.24 A^3/atom.

The structure in extended XYZ format:
```
12
Lattice="5.874 0.000 0.000 -2.937 5.087 0.000 0.000 0.000 6.923" Properties=species:S:1:pos:R:3 pbc="T T T"
Ac 0.000 0.000 0.000
Ti 0.000 0.000 3.462
Pt 0.000 3.392 1.964
Pt 2.937 1.696 4.959
O 0.000 1.458 2.150
O -1.674 4.358 2.150
O 1.263 0.729 4.774
O 0.000 3.392 0.059
O 2.937 1.696 6.864
O 1.674 4.358 2.150
O 4.611 0.729 4.774
O 2.937 3.629 4.774
```

---

A plane-wave DFT calculation with PBE was carried out for a geometry-optimized CsSe2S2 structure.

## Properties
The density of states at the Fermi level comes out at 1.4 states/eV/f.u. The value obtained for the polymorph energy (0 for the lowest one) is 0.000 eV per atom. The uncorrected formation energy comes out at -0.36 eV per atom. The value obtained for the volume is 34.55 A^3/atom.

The structure in extended XYZ format:
```
5
Lattice="5.328 0.000 0.000 -0.130 5.602 0.000 -2.658 -2.631 5.788" Properties=species:S:1:pos:R:3 pbc="T T T"
Cs 0.000 0.000 0.000
Se 0.011 -0.508 3.928
Se 2.529 3.478 1.860
S -0.117 3.106 3.245
S 2.657 -0.135 2.542
```

---

A plane-wave DFT calculation with PBE was carried out for a geometry-optimized LiCaTc2 structure.

## Properties
The density of states at the Fermi level comes out at 2.2 states/eV/f.u. The value obtained for the polymorph energy (0 for the lowest one) is 0.430 eV per atom. For the formation energy, the calculation gives 651.9 meV/atom. The value obtained for the volume is 17.59 A^3/atom.

The structure in extended XYZ format:
```
16
Lattice="3.716 0.000 0.000 0.000 3.716 0.000 0.000 0.000 20.385" Properties=species:S:1:pos:R:3 pbc="T T T"
Li 0.000 0.000 0.000
Li 0.000 1.858 5.096
Li 1.858 0.000 15.289
Li 1.858 1.858 10.193
Ca 0.000 0.000 10.193
Ca 0.000 1.858 15.289
Ca 1.858 0.000 5.096
Ca 1.858 1.858 0.000
Tc 0.882 0.929 2.548
Tc 0.929 2.740 7.644
Tc 0.929 2.834 17.837
Tc 0.976 0.929 12.741
Tc 2.740 2.787 12.741
Tc 2.787 0.882 17.837
Tc 2.787 0.976 7.644
Tc 2.834 2.787 2.548
```

---

A plane-wave DFT calculation with PBE was carried out for a geometry-optimized SbHO2F structure.

## Properties
The density of states at the Fermi level comes out at 0.8 states/eV/f.u. The value obtained for the volume is 14.92 A^3/atom.

The structure in extended XYZ format:
```
5
Lattice="4.332 0.000 0.000 0.000 3.358 0.000 -0.331 0.000 5.129" Properties=species:S:1:pos:R:3 pbc="T T T"
Sb 0.000 0.000 0.000
H 4.131 1.679 2.740
O -0.016 1.679 1.209
O 4.000 1.679 3.771
F 1.827 0.000 5.020
```

---

A plane-wave DFT calculation with PBE was carried out for a geometry-optimized Ti2ReSnH structure.

## Properties
The density of states at the Fermi level comes out at 3.9 states/eV/f.u. The value obtained for the volume is 13.80 A^3/atom.

The structure in extended XYZ format:
```
5
Lattice="4.166 0.000 0.000 0.000 4.166 0.000 0.000 0.000 3.975" Properties=species:S:1:pos:R:3 pbc="T T T"
Ti 0.000 2.083 0.000
Ti 2.083 0.000 0.000
Re 0.000 0.000 1.988
Sn 2.083 2.083 1.988
H 0.000 0.000 0.000
```

---

A plane-wave DFT calculation with PBE was carried out for a geometry-optimized Dy4MgNi structure.

## Properties
The density of states at the Fermi level comes out at 5.0 states/eV/f.u. The value obtained for the polymorph energy (0 for the lowest one) is 0.308 eV per atom. For the formation energy, the calculation gives 104.2 meV/atom. The value obtained for the volume is 29.60 A^3/atom.

The structure in extended XYZ format:
```
6
Lattice="4.760 0.000 0.000 0.000 4.760 0.000 -0.008 0.000 7.837" Properties=species:S:1:pos:R:3 pbc="T T T"
Dy 0.000 0.000 0.000
Dy -0.002 0.000 4.621
Dy 2.380 2.380 0.000
Dy 2.380 2.380 4.621
Mg 0.003 2.380 2.310
Ni 2.372 0.000 6.231
```

---

A plane-wave DFT calculation with PBE was carried out for a geometry-optimized Cs2ErSb2O6 structure.

## Properties
The density of states at the Fermi level comes out at 2.4 states/eV/f.u. The uncorrected formation energy comes out at -1.85 eV per atom. The value obtained for the volume is 21.58 A^3/atom.

The structure in extended XYZ format:
```
11
Lattice="5.351 -3.171 0.000 5.351 3.171 0.000 -3.235 0.000 6.996" Properties=species:S:1:pos:R:3 pbc="T T T"
Cs 1.725 0.000 1.239
Cs 5.742 0.000 5.757
Er -1.617 0.000 3.498
Sb 2.058 0.000 5.354
Sb 5.409 0.000 1.642
O 0.551 0.000 4.128
O 4.288 1.548 1.999
O 3.179 1.548 4.996
O 4.288 -1.548 1.999
O 3.179 -1.548 4.996
O 6.916 0.000 2.867
```

---

A plane-wave DFT calculation with PBE was carried out for a geometry-optimized CaGa2Pt structure.

## Properties
The density of states at the Fermi level comes out at 1.1 states/eV/f.u. For the formation energy, the calculation gives -580.5 meV/atom. The value obtained for the volume is 17.85 A^3/atom.

The structure in extended XYZ format:
```
16
Lattice="6.586 0.000 0.000 0.000 6.586 0.000 0.000 0.000 6.586" Properties=species:S:1:pos:R:3 pbc="T T T"
Ca 0.000 0.000 0.000
Ca 0.000 3.293 3.293
Ca 3.293 0.000 3.293
Ca 3.293 3.293 0.000
Ga 1.646 1.646 1.646
Ga 1.646 1.646 4.939
Ga 1.646 4.939 1.646
Ga 1.646 4.939 4.939
Ga 4.939 1.646 1.646
Ga 4.939 1.646 4.939
Ga 4.939 4.939 1.646
Ga 4.939 4.939 4.939
Pt 0.000 0.000 3.293
Pt 0.000 3.293 0.000
Pt 3.293 0.000 0.000
Pt 3.293 3.293 3.293
```

---

A plane-wave DFT calculation with PBE was carried out for a geometry-optimized LaSm3 structure.

## Properties
The density of states at the Fermi level comes out at 7.1 states/eV/f.u. For the formation energy, the calculation gives 33.6 meV/atom. The value obtained for the volume is 34.97 A^3/atom.

The structure in extended XYZ format:
```
8
Lattice="3.698 0.000 0.000 0.000 11.834 0.000 0.000 0.000 6.393" Properties=species:S:1:pos:R:3 pbc="T T T"
La 0.000 0.000 0.000
La 1.849 5.917 3.197
Sm 0.000 2.937 4.257
Sm 0.000 5.917 6.368
Sm 0.000 8.896 4.257
Sm 1.849 0.000 3.171
Sm 1.849 2.980 1.061
Sm 1.849 8.854 1.061
```

---

Total DFT energy (no corrections) for the records above, in order: -91.2 -25.7 -77.9 -77.9 -17.9 -88.2 -26.1 -36.8 -25.2 -64.6 -65.7 -37.9 eV/cell